Entry from Alexandria via LeMat-Bulk: a relaxed structure of LiInIN2 (PBE-GGA).

Unit cell a=5.010 b=5.010 c=6.235 alpha=90.00 beta=90.00 gamma=90.00
Atoms (fractional coordinates):
Li1 0.000 0.000 0.000
In1 0.500 0.500 0.500
I1 0.000 0.000 0.500
N1 0.000 0.500 0.000
N2 0.500 0.000 0.000

Calculated values
- Density: 2.9 g/cm3
- Formation energy from raw total energies: 139 kJ per mole of atoms
- Energy: -3.13 eV per atom